1.
# Te2PdPb2F2 | OQMD via LeMat-Bulk | PBE | relaxed
# electronic total energy	-4.32	eV per atom
data_Te2PdPb2F2
_chemical_formula_sum 'Te2 Pd1 Pb2 F2'
_cell_length_a 4.1351
_cell_length_b 4.1351
_cell_length_c 9.5648
_cell_angle_alpha 90.00
_cell_angle_beta 90.00
_cell_angle_gamma 90.00
_space_group_name_H-M_alt 'P -4 m 2'
_space_group_IT_number 115
loop_
_space_group_symop_operation_xyz
'x,y,z'
'y,-x,-z'
'-x,-y,z'
'-y,x,-z'
'-x,y,z'
'-y,-x,-z'
'x,-y,z'
'y,x,-z'
loop_
_atom_site_label
_atom_site_fract_x
_atom_site_fract_y
_atom_site_fract_z
_atom_site_occupancy
Te1 0.0000 0.5000 0.1680 1
Pd1 0.0000 0.0000 0.0000 1
Pb1 0.0000 0.5000 0.6596 1
F1 0.0000 0.0000 0.5000 1
F2 0.5000 0.5000 0.5000 1

---

2.
# PtPbF | OQMD via LeMat-Bulk | PBE | relaxed
# energy above the lowest structure with this stoichiometry	0.000	eV per atom
data_PtPbF
_chemical_formula_sum 'Pt2 Pb2 F2'
_cell_length_a 3.8945
_cell_length_b 3.8945
_cell_length_c 7.7438
_cell_angle_alpha 90.00
_cell_angle_beta 90.00
_cell_angle_gamma 90.00
_space_group_name_H-M_alt 'P 4/n m m'
_space_group_IT_number 129
loop_
_space_group_symop_operation_xyz
'x,y,z'
'-x,-y,-z'
'-y+1/2,x,z'
'y+1/2,-x,-z'
'-x+1/2,-y+1/2,z'
'x+1/2,y+1/2,-z'
'y,-x+1/2,z'
'-y,x+1/2,-z'
'x+1/2,-y,-z'
'-x+1/2,y,z'
'-y,-x,-z'
'y,x,z'
'-x,y+1/2,-z'
'x,-y+1/2,z'
'y+1/2,x+1/2,-z'
'-y+1/2,-x+1/2,z'
loop_
_atom_site_label
_atom_site_fract_x
_atom_site_fract_y
_atom_site_fract_z
_atom_site_occupancy
Pt1 0.2500 0.7500 0.0000 1
Pb1 0.2500 0.2500 0.2940 1
F1 0.2500 0.7500 0.5000 1

---

3.
# PtPbF | OQMD via LeMat-Bulk | PBE | relaxed
# energy above the lowest structure with this stoichiometry	0.445	eV per atom
data_PtPbF
_chemical_formula_sum 'Pt4 Pb4 F4'
_cell_length_a 6.2788
_cell_length_b 6.2788
_cell_length_c 6.2788
_cell_angle_alpha 90.00
_cell_angle_beta 90.00
_cell_angle_gamma 90.00
_space_group_name_H-M_alt 'F -4 3 m'
_space_group_IT_number 216
_space_group_name_Hall 'F -4 2 3'
loop_
_atom_site_label
_atom_site_fract_x
_atom_site_fract_y
_atom_site_fract_z
_atom_site_occupancy
Pt1 0.0000 0.0000 0.0000 1
Pb1 0.2500 0.2500 0.7500 1
F1 0.0000 0.0000 0.5000 1

---

4.
# Pt3Pb2F | OQMD via LeMat-Bulk | PBE | relaxed
# electronic total energy	-4.84	eV per atom
data_Pt3Pb2F
_chemical_formula_sum 'Pt3 Pb2 F1'
_cell_length_a 4.1264
_cell_length_b 4.1264
_cell_length_c 7.3008
_cell_angle_alpha 90.00
_cell_angle_beta 90.00
_cell_angle_gamma 90.00
_space_group_name_H-M_alt 'P -4 m 2'
_space_group_IT_number 115
loop_
_space_group_symop_operation_xyz
'x,y,z'
'y,-x,-z'
'-x,-y,z'
'-y,x,-z'
'-x,y,z'
'-y,-x,-z'
'x,-y,z'
'y,x,-z'
loop_
_atom_site_label
_atom_site_fract_x
_atom_site_fract_y
_atom_site_fract_z
_atom_site_occupancy
Pt1 0.0000 0.0000 0.0000 1
Pt2 0.0000 0.0000 0.5000 1
Pt3 0.5000 0.5000 0.0000 1
Pb1 0.0000 0.5000 0.2667 1
F1 0.5000 0.5000 0.5000 1